Below is a relaxed LaSn2SbI crystal, with properties calculated at the PBEsol level.

Unit cell a=5.791 b=6.066 c=6.066 alpha=90.00 beta=90.00 gamma=90.00
Atoms (fractional coordinates):
I 0.500 0.000 0.000
Sb 0.500 0.500 0.500
Sn 0.000 0.000 0.500
Sn 0.000 0.500 0.000
La 0.000 0.000 0.000

Properties
**Raw formation energy**: 0.533 eV/atom
**Calculated density**: 4.87 g cm⁻³